Computed, not measured: a geometry-optimized BaPmAgIr structure at the PBE-GGA level of DFT.

POSCAR file:
```
BaPmAgIr
1.0
-4.617 -2.532 0.479
-0.089 -5.085 1.446
-1.787 -1.356 4.787
Pm Ag Ir Ba
1 1 1 1
Direct
0.000 0.000 0.000
0.250 0.250 0.250
0.750 0.750 0.750
0.500 0.500 0.500
```

- ΔH_f (0 K) (eV/atom) = -0.149